AcSbPt | GGA-PBE | relaxed

a = 4.6728 Å, b = 4.6728 Å, c = 8.7219 Å
α = 90.00°, β = 90.00°, γ = 120.00°
Space group P6_3/mmc (No. 194)
One atom of each set of equivalent atoms:
Ac 0.0000 0.0000 0.0000
Sb 0.3333 0.6667 0.2500
Pt 0.3333 0.6667 0.7500

Properties
The raw formation energy comes out at -1.16 eV per atom. The calculation puts the theoretical density at 10.950 Mg/m³. Its total DFT energy (no corrections) is -35.53 eV for the cell shown. The calculation puts the relative energy among the computed polymorphs at 0 meV per atom. The total magnetization is 0.000 Bohr magnetons per cell.